PBE with a Hubbard U HoMnTlF6, relaxed; space-group type = P-31c, No. 163; calculated total energy = -53.67 eV/f.u.
1.0
5.9198 0.0000 0.0000
-2.9599 5.1267 0.0000
0.0000 0.0000 11.5383
Ho F Tl Mn
2 12 2 2
Cartesian
2.9599 1.7089 2.8846
0.0000 3.4178 8.6537
3.6546 0.0167 9.8031
1.1182 1.9700 4.0340
1.1470 1.9534 9.8031
1.8417 3.1567 7.5043
4.7728 1.9534 7.5043
0.6947 5.1101 4.0340
2.2652 0.0167 7.5043
-0.6947 5.1101 1.7352
1.8129 3.1733 1.7352
4.0781 3.1567 9.8031
-1.1182 1.9700 1.7352
-1.8129 3.1733 4.0340
0.0000 0.0000 5.7692
0.0000 0.0000 0.0000
0.0000 3.4178 2.8846
2.9599 1.7089 8.6537

=====

PBE with a Hubbard U HoMoF6, relaxed; space-group type = C2/m, No. 12; calculated total energy = -47.98 eV/f.u.
1.0
-3.6533 2.2823 4.4958
2.3123 -2.0118 3.9501
4.2699 2.2720 1.2665
F Ho Mo
6 1 1
Cartesian
-0.0163 1.0983 7.0118
0.4379 1.3464 1.7411
0.7293 -0.7435 4.0877
3.2162 1.4548 2.9153
0.4522 3.2169 4.2398
-1.7950 1.0267 4.5745
-1.6902 1.1465 2.3560
0.1366 0.0054 0.1082

=====

PBE with a Hubbard U HoMoO4F, relaxed; excess energy over the best structure of this formula in the dataset = 0.00 eV per formula unit; space-group type = P2_1/c, No. 14; calculated total energy = -51.72 eV/f.u.
1.0
-10.3740 3.2114 -6.0125
-2.8745 -2.4122 3.6713
-1.7163 4.0062 5.1011
F O Ho Mo
4 16 4 4
Cartesian
-6.6464 2.1501 2.3108
-8.3184 2.6553 0.4491
-2.6320 -0.8301 1.5896
-12.3329 5.6355 1.1704
-12.6006 3.4945 -0.3479
-4.2259 3.4322 3.4333
-9.3471 0.7710 1.9697
-10.7390 1.3732 -0.6733
-0.9943 0.8658 0.4219
-13.9706 3.9396 2.3380
-2.3642 1.3109 3.1078
-4.7899 1.0304 4.9176
-5.6177 4.0344 0.7902
-5.9635 -0.3438 1.1895
-10.1749 3.7750 -2.1577
-7.0560 4.5008 3.4365
-7.9088 0.3046 -0.6766
-11.0178 3.1969 2.2129
-9.0013 5.1492 1.5704
-3.9470 1.6085 0.5470
-2.9383 2.5003 5.0973
-8.7566 3.0303 2.6056
-12.0265 2.3051 -2.3374
-6.2082 1.7751 0.1543
-2.3502 1.7395 1.3181
-9.5375 0.3759 0.1773
-12.6146 3.0659 1.4418
-5.4273 4.4295 2.5826

=====

PBE with a Hubbard U HoMoO4F, relaxed; excess energy over the best structure of this formula in the dataset = 0.03 eV per formula unit; space-group type = C2/m, No. 12; calculated total energy = -51.68 eV/f.u.
1.0
6.0096 -0.2451 0.1068
1.7594 5.7515 0.1068
1.6855 1.1946 6.7067
O Mo F Ho
8 2 2 2
Cartesian
2.9291 2.0760 3.7000
6.5254 4.6250 3.2202
4.8574 3.4428 5.2969
6.1049 6.0501 5.8029
1.7238 2.9449 1.1173
7.7307 3.7562 5.8029
4.5971 3.2583 1.6233
3.3496 0.6510 1.1173
3.1729 2.2488 1.9536
6.2816 4.4522 4.9667
0.3991 0.2829 1.1428
9.0553 6.4182 5.7774
3.0730 2.1781 6.0196
6.3815 4.5230 0.9007

=====

no.,density (g/cm³)
1,5.10
2,4.57
3,5.69
4,4.90